1.
Compound: SrCa5Ac6
Source: the Alexandria database
Functional: PBE
Structure: optimized geometry

The value obtained for the formation energy is 0.077 eV per atom.

It has space group Immm (No. 71), with a = 5.5215 Å, b = 11.6062 Å, c = 16.5155 Å, α = 90.00°, β = 90.00° and γ = 90.00°. The asymmetric unit holds Sr at (0.0000, 0.0000, 0.0000), Ca at (0.0000, 0.0000, 0.3321), Ca at (0.0000, 0.5000, 0.0000), Ca at (0.0000, 0.5000, 0.3318), Ac at (0.0000, 0.2452, 0.5000) and Ac at (0.0000, 0.2522, 0.1678).

---

2.
Compound: ErPa2S4
Source: the Alexandria database
Functional: PBE
Structure: optimized geometry

The formation energy without anion corrections comes out at -1648 meV per atom.

It has space group Cmcm (No. 63), with a = 3.6899 Å, b = 12.7291 Å, c = 13.4236 Å, α = 90.00°, β = 90.00° and γ = 90.00°. The asymmetric unit holds Er at (0.0000, 0.1154, 0.2500), Pa at (0.0000, 0.3571, 0.0644), S at (0.0000, 0.0000, 0.0000), S at (0.0000, 0.2874, 0.6310) and S at (0.0000, 0.4556, 0.2500).

---

3.
Compound: Er6SbRu2
Source: the Alexandria database
Functional: PBE
Structure: optimized geometry

The formation energy without anion corrections comes out at -508 meV per atom.

It has space group Immm (No. 71), with a = 9.3091 Å, b = 9.4661 Å, c = 10.3559 Å, α = 90.00°, β = 90.00° and γ = 90.00°. The asymmetric unit holds Er at (0.0000, 0.2081, 0.2395), Er at (0.1866, 0.5000, 0.1679), Er at (0.2134, 0.3196, 0.5000), Sb at (0.0000, 0.0000, 0.0000), Sb at (0.0000, 0.0000, 0.5000), Ru at (0.0000, 0.3279, 0.0000) and Ru at (0.0000, 0.5000, 0.3699).

---

4.
Compound: BaPrGa4
Source: the Alexandria database
Functional: PBE
Structure: optimized geometry

The value obtained for the formation energy is -0.423 eV per atom.

It has space group F-43m (No. 216), with a = 8.2346 Å, b = 8.2346 Å, c = 8.2346 Å, α = 90.00°, β = 90.00° and γ = 90.00°. The asymmetric unit holds Ba at (0.0000, 0.0000, 0.0000), Pr at (0.2500, 0.2500, 0.7500) and Ga at (0.1243, 0.1243, 0.3757).

---

5.
Compound: YSiTe2
Source: the Alexandria database
Functional: PBE
Structure: optimized geometry

The formation energy without anion corrections comes out at -695 meV per atom.

It has space group Cm (No. 8), with a = 11.2042 Å, b = 4.3661 Å, c = 4.2848 Å, α = 90.00°, β = 90.02° and γ = 90.00°. The asymmetric unit holds Y at (0.0000, 0.0000, 0.0000), Si at (0.3200, 0.5000, 0.4985), Te at (0.0883, 0.5000, 0.4996) and Te at (0.3007, 0.0000, 0.9951).

---

6.
Compound: Ac2AlBr
Source: the Alexandria database
Functional: PBE
Structure: optimized geometry

The formation energy without anion corrections comes out at -688 meV per atom.

It has space group R-3m (No. 166, hexagonal axes), with a = 4.7170 Å, b = 4.7170 Å, c = 22.4041 Å, α = 90.00°, β = 90.00° and γ = 120.00°. The asymmetric unit holds Ac at (0.0000, 0.0000, 0.2447), Al at (0.0000, 0.0000, 0.5000) and Br at (0.0000, 0.0000, 0.0000).

---

7.
Compound: KCuAg2
Source: the Alexandria database
Functional: PBE
Structure: optimized geometry

The value obtained for the formation energy is 0.401 eV per atom.

It has space group Pmmm (No. 47), with a = 2.9730 Å, b = 5.3171 Å, c = 5.3689 Å, α = 90.00°, β = 90.00° and γ = 90.00°. The asymmetric unit holds K at (0.0000, 0.0000, 0.0000), Cu at (0.5000, 0.5000, 0.0000), Ag at (0.0000, 0.5000, 0.5000) and Ag at (0.5000, 0.0000, 0.5000).

---

8.
Compound: Li5Ca5Ag2
Source: the Alexandria database
Functional: PBE
Structure: optimized geometry

The value obtained for the formation energy is -0.084 eV per atom.

It has space group C2/m (No. 12), with a = 16.7684 Å, b = 4.7639 Å, c = 10.9148 Å, α = 90.00°, β = 129.90° and γ = 90.00°. The asymmetric unit holds Li at (0.0000, 0.0000, 0.0000), Li at (0.0532, 0.0000, 0.3612), Li at (0.2485, 0.5000, 0.7643), Ca at (0.0000, 0.5000, 0.5000), Ca at (0.1334, 0.5000, 0.9300), Ca at (0.1735, 0.5000, 0.3229) and Ag at (0.1491, 0.0000, 0.7267).

---

Q: What is the formula in the second record?
A: ErPa2S4